! Ba2CdMoPb PBE optimized geometry; values from VASP
&SYSTEM
  ibrav = 0, nat = 5, ntyp = 4
/
ATOMIC_SPECIES
Ba 137.33 Ba.upf
Pb 207.20 Pb.upf
Mo 95.94 Mo.upf
Cd 112.41 Cd.upf
ATOMIC_POSITIONS angstrom
Ba -0.390 -1.450 2.831
Pb -3.141 1.457 3.941
Mo -2.621 0.050 -0.336
Ba -0.130 2.857 1.446
Cd 0.000 0.000 0.000
CELL_PARAMETERS angstrom
-0.260 5.714 2.891
-5.242 0.101 -0.671
-0.781 -2.900 5.662
! N(E_F): 1.183 states/eV per atom
! symmetry: No. 123
! magnetic moment: 3.081 μB/f.u.
! V: 43.427 A^3/atom
! E_tot: -15.75 eV per cell